# BeVCoO | Alexandria | GGA+U | optimized geometry
# DFT total energy (eV per atom): -5.75
data_BeVCoO
_chemical_formula_sum 'Be3 V3 Co3 O3'
_space_group_name_H-M_alt 'R 3 m'
_space_group_IT_number 160
_space_group_name_Hall 'R 3 -2"'
_cell_length_a 2.7184
_cell_length_b 2.7184
_cell_length_c 19.7418
_cell_angle_alpha 90.00
_cell_angle_beta 90.00
_cell_angle_gamma 120.00
loop_
_atom_site_label
_atom_site_type_symbol
_atom_site_fract_x
_atom_site_fract_y
_atom_site_fract_z
Be1 Be 0.0000 0.0000 0.0000
V1 V 0.0000 0.0000 0.5250
Co1 Co 0.0000 0.0000 0.7525
O1 O 0.0000 0.0000 0.9219